Record 1
Co2Rh at its PBEsol-relaxed geometry, computed with SCAN.

abc: 3.5587 3.6102 5.6753
angles: 71.45 90.00 90.00
With the nearest neighbours (Å) after each atom.
Atoms (fractional coordinates):
Co (0.0000, 0.8378, 0.3244)  6 Co 2.49-2.61, 6 Rh 2.53-2.59
Co (0.0000, 0.1622, 0.6756)  6 Co 2.49-2.61, 6 Rh 2.53-2.59
Co (0.0000, 0.5000, 0.0000)  4 Rh 2.50, 8 Co 2.51-2.53
Rh (0.5000, 0.6629, 0.6742)  10 Co 2.50-2.59, 2 Rh 2.60
Co (0.5000, 0.0000, 0.0000)  8 Co 2.49-2.53, 4 Rh 2.52
Rh (0.5000, 0.3371, 0.3258)  10 Co 2.50-2.59, 2 Rh 2.60

***

Record 2
CoRh3 at its PBEsol-relaxed geometry, computed with SCAN.

abc: 2.6409 3.6713 5.2614
angles: 90.00 90.00 90.00
With the nearest neighbours (Å) after each atom.
Atoms (fractional coordinates):
Rh (0.5000, 0.5000, 0.2428)  8 Rh 2.56-2.71, 4 Co 2.60
Rh (0.5000, 0.5000, 0.7572)  8 Rh 2.56-2.71, 4 Co 2.60
Co (0.0000, 0.0000, 0.0000)  10 Rh 2.60-2.63, 2 Co 2.64
Rh (0.0000, 0.0000, 0.5000)  2 Co 2.63, 10 Rh 2.64

***

| no. | formation energy (eV/atom) | D(E_F) (states/eV/atom) |
| --- | --- | --- |
| 1 | 0.02 | 0.7041 |
| 2 | 0.06 | 1.2012 |